Here is an optimized crystal structure of PrNd3Er7 from Alexandria. Energies are from PBE.

Unit cell a=5.8395 b=11.1881 c=11.2360 alpha=90.00 beta=90.00 gamma=90.00
Last column: nearest neighbours and their distance in Å.
Space group Immm (No. 71)
Symmetry-distinct sites (fractional):
1 Pr 0.0000 0.0000 0.0000  2 Er 2.92
2 Nd 0.0000 0.0000 0.5000  4 Er 3.21
3 Nd 0.0000 0.5000 0.2115  5 Er 3.24-3.41
4 Er 0.0000 0.2112 0.3071  2 Nd 3.21-3.41, 3 Er 3.31-3.58
5 Er 0.0000 0.2955 0.0000  2 Nd 3.30, 1 Pr 3.31, 6 Er 3.58-3.64
6 Er 0.0000 0.5000 0.5000  2 Pr 2.92, 2 Nd 3.24

Calculated values
- calculated formation energy (kJ per mole of atoms) = 25
- DOS at the Fermi energy (states/eV/atom) = 1.42
- distance to the lowest polymorph of the same formula (eV/atom) = 0.1379
- mass density (g/cm3) = 7.89
- size of the total moment (μB/f.u.) = 0.0


Here is an optimized crystal structure of Pr3Nd2ErS6 from Alexandria. Energies are from PBE.

Unit cell a=7.0056 b=12.1656 c=7.0352 alpha=90.00 beta=109.43 gamma=90.00
Last column: nearest neighbours and their distance in Å.
Space group C2/m (No. 12)
Symmetry-distinct sites (fractional):
1 Pr 0.0000 0.0000 0.0000  6 S 2.88-2.96
2 Pr 0.0000 0.3283 0.0000  6 S 2.88-2.94
3 Nd 0.0000 0.1671 0.5000  6 S 2.85-2.88
4 Er 0.0000 0.5000 0.5000  6 S 2.76-2.77
5 S 0.2402 0.3391 0.7385  1 Er 2.76, 2 Nd 2.85-2.86, 3 Pr 2.88-2.94
6 S 0.2406 0.5000 0.2572  1 Er 2.77, 2 Nd 2.88, 3 Pr 2.91-2.96

Calculated values
- DOS at the Fermi energy (states/eV/atom) = 0.43
- mass density (g/cm3) = 6.29
- formation energy from raw total energies (eV/atom) = -2.0138
- size of the total moment (μB/f.u.) = 0.0


Here is an optimized crystal structure of PrNdEr4S8 from Alexandria. Energies are from PBE.

Unit cell a=8.0623 b=8.0623 c=20.0665 alpha=90.00 beta=90.00 gamma=120.00
Last column: nearest neighbours and their distance in Å.
Space group R3m (No. 160, hexagonal axes)
Symmetry-distinct sites (fractional):
1 Pr 0.0000 0.0000 0.0000  4 S 2.70-2.75
2 Nd 0.0000 0.0000 0.6260  6 S 2.84-2.88
3 Er 0.0000 0.0000 0.2526  4 S 2.59-2.65
4 Er 0.0019 0.5009 0.1272  6 S 2.72-2.77
5 S 0.0000 0.0000 0.3846  4 Er 2.65-2.77
6 S 0.0000 0.0000 0.8630  3 Er 2.72, 1 Pr 2.75
7 S 0.0245 0.5123 0.3848  1 Pr 2.70, 2 Er 2.72, 1 Nd 2.84
8 S 0.1716 0.3432 0.2037  3 Er 2.59-2.75, 1 Nd 2.88

Calculated values
- DOS at the Fermi energy (states/eV/atom) = 0.56
- mass density (g/cm3) = 5.34
- formation energy from raw total energies (eV/atom) = -1.9132
- size of the total moment (μB/f.u.) = 0.0


Here is an optimized crystal structure of Pr2NdEr3S6 from Alexandria. Energies are from PBE.

Unit cell a=17.4916 b=3.9228 c=8.0896 alpha=90.00 beta=105.34 gamma=90.00
Last column: nearest neighbours and their distance in Å.
Space group C2/m (No. 12)
Symmetry-distinct sites (fractional):
1 Pr 0.1667 0.0000 0.3333  6 S 2.91
2 Nd 0.0000 0.5000 0.0000  6 S 2.89-2.90
3 Er 0.0000 0.5000 0.5000  6 S 2.73-2.74
4 Er 0.1670 0.0000 0.8334  6 S 2.73
5 S 0.0052 0.0000 0.7388  3 Er 2.73-2.74, 2 Nd 2.90, 1 Pr 2.91
6 S 0.1616 0.5000 0.5964  3 Er 2.73, 3 Pr 2.91
7 S 0.1709 0.5000 0.0697  3 Er 2.73, 1 Nd 2.89, 2 Pr 2.91

Calculated values
- DOS at the Fermi energy (states/eV/atom) = 0.36
- mass density (g/cm3) = 6.95
- formation energy from raw total energies (eV/atom) = -1.9990
- size of the total moment (μB/f.u.) = 0.0


Here is an optimized crystal structure of PrNdEr2S4 from Alexandria. Energies are from PBE.

Unit cell a=6.8076 b=3.9080 c=7.0614 alpha=90.00 beta=108.58 gamma=90.00
Last column: nearest neighbours and their distance in Å.
Space group P2/m (No. 10)
Symmetry-distinct sites (fractional):
1 Pr 0.0000 0.0000 0.0000  6 S 2.91
2 Nd 0.5000 0.5000 0.0000  6 S 2.90
3 Er 0.0000 0.5000 0.5000  6 S 2.73-2.74
4 Er 0.5000 0.0000 0.5000  6 S 2.72-2.73
5 S 0.2437 0.0000 0.7285  3 Er 2.73, 2 Nd 2.90, 1 Pr 2.91
6 S 0.2590 0.5000 0.2724  3 Er 2.72-2.74, 1 Nd 2.90, 2 Pr 2.91

Calculated values
- DOS at the Fermi energy (states/eV/atom) = 0.44
- mass density (g/cm3) = 6.97
- formation energy from raw total energies (eV/atom) = -1.9982
- size of the total moment (μB/f.u.) = 0.0


Here is an optimized crystal structure of Pr4Nd3ErS8 from Alexandria. Energies are from PBE.

Unit cell a=8.1205 b=8.1205 c=19.9654 alpha=90.00 beta=90.00 gamma=120.00
Last column: nearest neighbours and their distance in Å.
Space group R-3m (No. 166, hexagonal axes)
Symmetry-distinct sites (fractional):
1 Pr 0.0000 0.0000 0.0000  6 S 2.98
2 Pr 0.0000 0.5000 0.0000  6 S 2.89
3 Nd 0.0000 0.5000 0.5000  6 S 2.86
4 Er 0.0000 0.0000 0.5000  6 S 2.77
5 S 0.0000 0.0000 0.2489  3 Nd 2.86, 3 Pr 2.89
6 S 0.0103 0.5051 0.2463  1 Er 2.77, 2 Nd 2.86, 3 Pr 2.89-2.98

Calculated values
- DOS at the Fermi energy (states/eV/atom) = 0.51
- mass density (g/cm3) = 6.20
- formation energy from raw total energies (eV/atom) = -2.0080
- size of the total moment (μB/f.u.) = 0.0


Here is an optimized crystal structure of Pr2NdErSb4 from Alexandria. Energies are from PBE.

Unit cell a=7.7916 b=4.5034 c=7.7920 alpha=90.00 beta=109.49 gamma=90.00
Last column: nearest neighbours and their distance in Å.
Space group P2/m (No. 10)
Symmetry-distinct sites (fractional):
1 Pr 0.0000 0.0000 0.0000  6 Sb 3.19
2 Pr 0.0000 0.5000 0.5000  6 Sb 3.24
3 Nd 0.5000 0.0000 0.5000  6 Sb 3.17
4 Er 0.5000 0.5000 0.0000  6 Sb 3.12-3.13
5 Sb 0.2558 0.5000 0.2469  1 Er 3.12, 2 Nd 3.17, 3 Pr 3.19-3.24
6 Sb 0.2595 0.0000 0.7581  2 Er 3.13, 1 Nd 3.17, 3 Pr 3.19-3.24

Calculated values
- DOS at the Fermi energy (states/eV/atom) = 0.12
- mass density (g/cm3) = 6.96
- formation energy from raw total energies (eV/atom) = -1.1589
- size of the total moment (μB/f.u.) = 0.0


Here is an optimized crystal structure of PrNdEr2Sc from Alexandria. Energies are from PBE.

Unit cell a=6.2385 b=5.6377 c=9.4860 alpha=90.00 beta=108.85 gamma=90.00
Last column: nearest neighbours and their distance in Å.
Space group P2_1/m (No. 11)
Symmetry-distinct sites (fractional):
1 Pr 0.2336 0.2500 0.3061  6 Er 3.44-3.69, 4 Sc 3.48-3.66, 2 Nd 3.62
2 Nd 0.3661 0.7500 0.8985  7 Er 3.50-3.70, 2 Nd 3.52, 1 Sc 3.57, 2 Pr 3.62
3 Er 0.0322 0.2500 0.8947  4 Nd 3.50-3.63, 3 Pr 3.50-3.69, 1 Sc 3.55, 4 Er 3.55-3.65
4 Er 0.4270 0.2500 0.6890  3 Pr 3.44-3.52, 4 Sc 3.47-3.62, 3 Nd 3.54-3.70, 2 Er 3.60-3.65
5 Sc 0.1543 0.7500 0.5007  2 Sc 3.41, 5 Er 3.47-3.62, 4 Pr 3.48-3.66, 1 Nd 3.57

Calculated values
- calculated formation energy (kJ per mole of atoms) = 4
- DOS at the Fermi energy (states/eV/atom) = 1.60
- mass density (g/cm3) = 6.99
- size of the total moment (μB/f.u.) = 0.0


Here is an optimized crystal structure of Pr5Nd2ErSc from Alexandria. Energies are from PBE.

Unit cell a=8.4720 b=8.4720 c=17.3754 alpha=90.00 beta=90.00 gamma=90.00
Last column: nearest neighbours and their distance in Å.
Space group I4/mcm (No. 140)
Symmetry-distinct sites (fractional):
1 Pr 0.0000 0.0000 0.0000  4 Nd 3.34
2 Pr 0.2197 0.2803 0.1464  1 Nd 3.15, 1 Sc 3.19, 2 Er 3.51
3 Nd 0.1257 0.3743 0.5000  1 Nd 3.01, 4 Pr 3.15-3.34
4 Er 0.0000 0.0000 0.2500  8 Pr 3.51
5 Sc 0.0000 0.5000 0.2500  4 Pr 3.19

Calculated values
- calculated formation energy (kJ per mole of atoms) = 27
- DOS at the Fermi energy (states/eV/atom) = 1.46
- mass density (g/cm3) = 6.42
- size of the total moment (μB/f.u.) = 0.0


Here is an optimized crystal structure of Pr2Nd4ErSc from Alexandria. Energies are from PBE.

Unit cell a=5.1063 b=5.1393 c=10.1821 alpha=90.00 beta=90.08 gamma=90.00
Last column: nearest neighbours and their distance in Å.
Space group P2/m (No. 10)
Symmetry-distinct sites (fractional):
1 Pr 0.0000 0.0000 0.0000  8 Nd 3.58-3.59, 4 Sc 3.62
2 Pr 0.5000 0.5000 0.5000  4 Er 3.62, 8 Nd 3.64
3 Nd 0.9997 0.5000 0.2457  2 Sc 3.57-3.58, 4 Pr 3.59-3.64, 4 Nd 3.62, 2 Er 3.65
4 Nd 0.5000 0.0000 0.2466  4 Pr 3.58-3.64, 2 Sc 3.59, 4 Nd 3.62, 2 Er 3.63
5 Er 0.0000 0.0000 0.5000  4 Pr 3.62, 8 Nd 3.63-3.65
6 Sc 0.5000 0.5000 0.0000  8 Nd 3.57-3.59, 4 Pr 3.62

Calculated values
- calculated formation energy (kJ per mole of atoms) = 3
- DOS at the Fermi energy (states/eV/atom) = 1.53
- mass density (g/cm3) = 6.66
- size of the total moment (μB/f.u.) = 0.0


- The lowest DOS at the Fermi energy belongs to which entry?
  Pr2NdErSb4